First-principles (PBE) data for CaY15Ho4 after structural relaxation, as listed in Alexandria via LeMat-Bulk.

Properties
Space-group type: No. 123
E_form, eV/atom: 0.04
Total moment, μB/cell: 0.00
Volume, Å³ per cell: 648.1
N(E_F), states/eV per atom: 1.48

Geometry as POSCAR:
```
CaY15Ho4
1.0
-4.650 -0.171 1.981
1.930 -1.604 4.390
2.406 24.019 7.720
Ca Y Ho
1 15 4
direct
0.000 0.000 0.000
0.500 0.500 0.000
0.500 0.500 0.201
0.500 0.500 0.401
0.500 0.500 0.599
0.500 0.500 0.799
0.500 0.000 0.105
0.500 0.000 0.302
0.500 0.000 0.500
0.500 0.000 0.698
0.500 0.000 0.895
0.000 0.500 0.105
0.000 0.500 0.302
0.000 0.500 0.500
0.000 0.500 0.698
0.000 0.500 0.895
0.000 0.000 0.202
0.000 0.000 0.401
0.000 0.000 0.599
0.000 0.000 0.798
```